# Cs4TlNi3F12 PBE with a Hubbard U optimized geometry
# total moment: 9.97 Bohr magnetons per cell
# E: -4.12 eV per atom
# calculated volume: 670.6 Å³/cell
data_Cs4TlNi3F12
_space_group_name_H-M_alt 'I m -3 m'
_space_group_IT_number 229
_space_group_name_Hall '-I 4 2 3'
_cell_length_a 8.7528
_cell_length_b 8.7528
_cell_length_c 8.7528
_cell_angle_alpha 90.00
_cell_angle_beta 90.00
_cell_angle_gamma 90.00
loop_
_atom_site_label
_atom_site_fract_x
_atom_site_fract_y
_atom_site_fract_z
Cs1 0.2500 0.2500 0.2500
Tl1 0.0000 0.0000 0.0000
Ni1 0.0000 0.0000 0.5000
F1 0.0000 0.0000 0.2745
F2 0.0000 0.2500 0.5000